Material: Y2BiO
Method: DFT, PBE
State: optimized geometry

Structure (extended XYZ):
```
4
Lattice="0.000 3.580 3.580 3.580 0.000 3.580 3.580 3.580 0.000" Properties=species:S:1:pos:R:3 pbc="T T T"
Y 1.790 1.790 1.790
Y 5.369 5.369 5.369
Bi 3.580 3.580 3.580
O 0.000 0.000 0.000
```

Computed properties:
Raw formation energy ... -0.866 eV/atom
Symmetry ... Fm-3m
Electronic total energy ... -25.23 eV per cell
Relative energy among the computed polymorphs ... 0.937 eV/atom